CsSbS2 | GGA-PBE | optimized geometry

abc: 4.132 4.132 24.304
angles: 90.00 90.00 120.00
Sites, in units of the cell vectors:
Cs: 0.000 0.000 0.000
Cs: 0.333 0.667 0.667
Cs: 0.667 0.333 0.333
Sb: 0.000 0.000 0.168
Sb: 0.333 0.667 0.835
Sb: 0.667 0.333 0.501
S: 0.000 0.000 0.563
S: 0.000 0.000 0.773
S: 0.333 0.667 0.230
S: 0.333 0.667 0.440
S: 0.667 0.333 0.106
S: 0.667 0.333 0.897

Values from the calculation:
**Calculated volume**: 29.95 A^3/atom
**Formation energy without anion corrections**: -2.5 eV/f.u.